1.
Below is a geometry-optimized Th2ScSi4Pt3 structure, with properties calculated at the PBE level.

Structure (POSCAR):
```
Th2ScSi4Pt3
1.0
4.269 0.000 0.000
0.000 4.269 0.000
0.000 0.000 10.350
Th Sc Si Pt
2 1 4 3
direct
0.000 0.500 0.239 Th
0.500 0.000 0.761 Th
0.000 0.000 0.500 Sc
0.000 0.000 0.000 Si
0.000 0.500 0.650 Si
0.500 0.000 0.350 Si
0.500 0.500 0.000 Si
0.000 0.500 0.887 Pt
0.500 0.000 0.113 Pt
0.500 0.500 0.500 Pt
```

Summary:
M_tot: 0.000 μB/f.u.
Formation energy without anion corrections: -1062.2 meV per atom
Crystal system: tetragonal
DOS at the Fermi energy: 3.254 states/eV per cell
Uncorrected energy: -71.61 eV/f.u.

2.
Below is a geometry-optimized ScTlSi2Pt structure, with properties calculated at the PBE level.

Structure (POSCAR):
```
ScTlSi2Pt
1.0
5.048 0.000 0.000
0.000 5.048 0.000
0.000 0.000 5.032
Sc Tl Si Pt
1 1 2 1
direct
0.000 0.000 0.000 Sc
0.500 0.500 0.500 Tl
0.000 0.500 0.500 Si
0.500 0.000 0.500 Si
0.500 0.500 0.000 Pt
```

Summary:
M_tot: 0.000 μB/f.u.
Formation energy without anion corrections: 1036.4 meV per atom
Crystal system: tetragonal
DOS at the Fermi energy: 3.572 states/eV per cell
Uncorrected energy: -20.40 eV/f.u.

3.
Below is a geometry-optimized Tm2ScSi4Pt3 structure, with properties calculated at the PBE level.

Structure (POSCAR):
```
Tm2ScSi4Pt3
1.0
4.072 0.000 0.000
0.000 4.072 0.000
0.000 0.000 10.818
Tm Sc Si Pt
2 1 4 3
direct
0.000 0.500 0.245 Tm
0.500 0.000 0.755 Tm
0.000 0.000 0.500 Sc
0.000 0.000 0.000 Si
0.000 0.500 0.655 Si
0.500 0.000 0.345 Si
0.500 0.500 0.000 Si
0.000 0.500 0.877 Pt
0.500 0.000 0.123 Pt
0.500 0.500 0.500 Pt
```

Summary:
M_tot: 0.000 μB/f.u.
Formation energy without anion corrections: -1005.2 meV per atom
Crystal system: tetragonal
DOS at the Fermi energy: 3.595 states/eV per cell
Uncorrected energy: -65.14 eV/f.u.

- Among the records above, which one has the lowest uncorrected energy?
  Th2ScSi4Pt3

- Among the records above, which one has the highest uncorrected energy?
  ScTlSi2Pt

- Number 2 is which compound?
  ScTlSi2Pt

- Which formula does entry 3 have?
  Tm2ScSi4Pt3